1.
First-principles (GGA-PBE) data for an optimized crystal structure of DyTmHg4, as listed in Alexandria.

Summary:
total magnetization	0.0	μB/f.u.
offset from the most stable computed form	0	meV/atom
final energy	-2.094	eV/atom
density of states at the Fermi level	3.247	states/eV/f.u.
calculated volume	293.32	Å³/cell
crystal system	orthorhombic

abc: 5.1826 3.8712 14.6201
angles: 90.00 90.00 90.00
Space group Amm2 (No. 38)
Symmetry-distinct sites (fractional):
Dy: 0.0000 0.0000 0.0000
Tm: 0.5000 0.0000 0.7916
Hg: 0.0000 0.0000 0.3308
Hg: 0.0000 0.0000 0.6664
Hg: 0.5000 0.0000 0.1269
Hg: 0.5000 0.0000 0.4589



2.
First-principles (GGA-PBE) data for an optimized crystal structure of VCdAg2Rh, as listed in Alexandria.

Summary:
total magnetization	3.6	μB/f.u.
final energy	-3.487	eV/atom
density of states at the Fermi level	6.883	states/eV/f.u.
calculated volume	125.97	Å³/cell
crystal system	tetragonal

abc: 5.0235 5.0235 4.9918
angles: 90.00 90.00 90.00
Space group P4/mmm (No. 123)
Symmetry-distinct sites (fractional):
V: 0.0000 0.0000 0.0000
Cd: 0.5000 0.5000 0.0000
Ag: 0.0000 0.5000 0.5000
Rh: 0.5000 0.5000 0.5000



3.
First-principles (GGA-PBE) data for an optimized crystal structure of La2Pm4Sm, as listed in Alexandria.

Summary:
total magnetization	0.0	μB/f.u.
offset from the most stable computed form	39	meV/atom
final energy	-4.584	eV/atom
density of states at the Fermi level	11.246	states/eV/f.u.
calculated volume	1003.78	Å³/cell
crystal system	orthorhombic

abc: 6.8882 11.7501 12.4020
angles: 90.00 90.00 90.00
Space group Imma (No. 74)
Symmetry-distinct sites (fractional):
La: 0.0000 0.0000 0.0000
La: 0.0000 0.2500 0.2240
Pm: 0.0000 0.0071 0.6414
Pm: 0.2239 0.2500 0.4903
Sm: 0.2500 0.2500 0.7500



4.
First-principles (GGA-PBE) data for an optimized crystal structure of GaPF, as listed in Alexandria.

Summary:
total magnetization	0.0	μB/f.u.
offset from the most stable computed form	68	meV/atom
final energy	-4.619	eV/atom
calculated volume	220.30	Å³/cell
crystal system	monoclinic
formation energy from raw total energies	-1183	meV per atom

abc: 9.6706 4.0028 6.1724
angles: 90.00 112.78 90.00
Space group C2/m (No. 12)
Symmetry-distinct sites (fractional):
Ga: 0.1156 0.0000 0.2676
P: 0.1034 0.5000 0.4676
F: 0.1177 0.0000 0.9632



5.
First-principles (GGA-PBE) data for an optimized crystal structure of NaGeH2, as listed in Alexandria.

Summary:
total magnetization	0.0	μB/f.u.
offset from the most stable computed form	0	meV/atom
final energy	-2.907	eV/atom
density of states at the Fermi level	1.322	states/eV/f.u.
calculated volume	226.80	Å³/cell
crystal system	tetragonal

abc: 4.4366 4.4366 11.5225
angles: 90.00 90.00 90.00
Space group I-42d (No. 122)
Symmetry-distinct sites (fractional):
Na: 0.0000 0.0000 0.0000
Ge: 0.0000 0.0000 0.5000
H: 0.1000 0.2500 0.6250



6.
First-principles (GGA-PBE) data for an optimized crystal structure of Sr2ZrCo, as listed in Alexandria.

Summary:
total magnetization	0.0	μB/f.u.
offset from the most stable computed form	347	meV/atom
final energy	-4.239	eV/atom
density of states at the Fermi level	3.494	states/eV/f.u.
calculated volume	609.47	Å³/cell
crystal system	tetragonal

abc: 11.4771 11.4771 4.6269
angles: 90.00 90.00 90.00
Space group I-42d (No. 122)
Symmetry-distinct sites (fractional):
Sr: 0.0861 0.7500 0.1250
Zr: 0.0000 0.0000 0.5000
Co: 0.0000 0.0000 0.0000